Ba2UCu2Se5 | GGA-PBE | relaxed

Properties
Space group ... No. 12
DFT total energy ... -5.273 eV per atom

a b c (Å): 7.4072 7.4072 9.7901
angles (deg): 114.88 114.88 33.27
Fractional coordinates of all 10 atoms:
U  0.0000  0.0000  0.0000
Cu  0.4469  0.4469  0.7092
Se  0.8524  0.8524  0.6912
Se  0.1476  0.1476  0.3088
Ba  0.1746  0.1746  0.7004
Ba  0.8254  0.8254  0.2996
Se  0.5000  0.5000  0.5000
Se  0.6148  0.6148  0.9389
Se  0.3852  0.3852  0.0611
Cu  0.5531  0.5531  0.2908

Ba2UCu4Se6 | GGA-PBE | relaxed

Properties
Space group ... No. 14
DFT total energy ... -4.926 eV per atom

a b c (Å): 7.2813 9.8776 9.0115
angles (deg): 90.00 107.88 90.00
Fractional coordinates of all 26 atoms:
Se  0.8885  0.2825  0.9702
Ba  0.4857  0.7682  0.3758
Se  0.2854  0.0519  0.8516
Cu  0.0047  0.0006  0.3605
Cu  0.9953  0.9994  0.6395
Cu  0.0047  0.4994  0.8605
Cu  0.9350  0.7534  0.2348
Se  0.7107  0.5622  0.2109
Se  0.2893  0.4378  0.7891
Se  0.1115  0.7175  0.0298
Se  0.2854  0.4481  0.3516
Se  0.7146  0.9481  0.1484
Se  0.7146  0.5519  0.6484
Cu  0.0650  0.2466  0.7652
Se  0.2893  0.0622  0.2891
U  0.0000  0.0000  0.0000
Se  0.1115  0.7825  0.5298
Se  0.8885  0.2175  0.4702
Ba  0.5143  0.2318  0.6242
U  0.0000  0.5000  0.5000
Se  0.7107  0.9378  0.7109
Ba  0.5143  0.2682  0.1242
Cu  0.0650  0.2534  0.2652
Ba  0.4857  0.7318  0.8758
Cu  0.9350  0.7466  0.7348
Cu  0.9953  0.5006  0.1395

Ba2CuWSe6 | GGA-PBE | relaxed

Properties
Space group ... No. 225
DFT total energy ... -4.927 eV per atom

a b c (Å): 7.1627 7.1627 7.1627
angles (deg): 60.00 60.00 60.00
Fractional coordinates of all 10 atoms:
Ba  0.2500  0.2500  0.2500
Se  0.2501  0.7499  0.2501
Se  0.7499  0.2501  0.2501
Se  0.7499  0.2501  0.7499
Se  0.2501  0.7499  0.7499
Se  0.2501  0.2501  0.7499
Cu  0.0000  0.0000  0.0000
Ba  0.7500  0.7500  0.7500
W  0.5000  0.5000  0.5000
Se  0.7499  0.7499  0.2501

BaYCuSe3 | GGA-PBE | relaxed

Properties
Space group ... No. 63
DFT total energy ... -5.350 eV per atom

a b c (Å): 7.3454 7.3454 10.6801
angles (deg): 90.00 90.00 146.92
Fractional coordinates of all 12 atoms:
Cu  0.4671  0.5329  0.7500
Y  0.0000  0.0000  0.0000
Se  0.9317  0.0683  0.2500
Se  0.6346  0.3654  0.4388
Se  0.3654  0.6346  0.5612
Se  0.3654  0.6346  0.9388
Ba  0.7472  0.2528  0.7500
Ba  0.2528  0.7472  0.2500
Se  0.6346  0.3654  0.0612
Cu  0.5329  0.4671  0.2500
Y  0.0000  0.0000  0.5000
Se  0.0683  0.9317  0.7500

BaYCuSe3 | GGA-PBE | relaxed

Properties
Space group ... No. 11
DFT total energy ... -5.329 eV per atom

a b c (Å): 8.7996 4.1774 9.3322
angles (deg): 90.00 105.85 90.00
Fractional coordinates of all 12 atoms:
Se  0.6047  0.2500  0.3635
Se  0.0488  0.2500  0.3363
Se  0.7147  0.7500  0.0266
Ba  0.3007  0.7500  0.2507
Y  0.1784  0.2500  0.6590
Cu  0.4195  0.7500  0.9102
Se  0.9512  0.7500  0.6637
Y  0.8216  0.7500  0.3410
Ba  0.6993  0.2500  0.7493
Cu  0.5805  0.2500  0.0898
Se  0.2853  0.2500  0.9734
Se  0.3953  0.7500  0.6365

Ba8CuSi16 | GGA-PBE | relaxed

Properties
Space group ... No. 1
Energy relative to the lowest polymorph listed for this composition ... 0 meV/atom
DFT total energy ... -4.465 eV per atom

a b c (Å): 9.6729 6.6654 11.4572
angles (deg): 92.11 87.55 95.15
Fractional coordinates of all 25 atoms:
Ba  0.0049  0.2472  0.6516
Si  0.1992  0.4241  0.1691
Si  0.3118  0.7683  0.4620
Si  0.1922  0.2325  0.9875
Si  0.4017  0.2495  0.1089
Si  0.6752  0.3093  0.5321
Si  0.7320  0.1109  0.8147
Ba  0.1708  0.7317  0.9171
Si  0.8018  0.5249  0.8451
Ba  0.5095  0.7473  0.1927
Si  0.8946  0.8847  0.8488
Ba  0.4699  0.3291  0.8119
Si  0.6413  0.7911  0.9087
Si  0.3074  0.9612  0.6473
Ba  0.9800  0.7118  0.3215
Ba  0.6384  0.8076  0.5917
Cu  0.0460  0.2234  0.3051
Si  0.2954  0.5991  0.6447
Si  0.1906  0.0475  0.1637
Si  0.8273  0.7121  0.0331
Si  0.0989  0.7664  0.5890
Ba  0.8440  0.2187  0.0812
Ba  0.3497  0.2654  0.4163
Si  0.8216  0.1559  0.3846
Si  0.6799  0.4305  0.3466

Ba8CuSi16 | GGA-PBE | relaxed

Properties
Space group ... No. 1
Energy relative to the lowest polymorph listed for this composition ... 28 meV/atom
DFT total energy ... -4.437 eV per atom

a b c (Å): 9.0430 6.8518 11.9657
angles (deg): 90.84 89.09 94.20
Fractional coordinates of all 25 atoms:
Si  0.7830  0.5428  0.8713
Si  0.1962  0.2350  0.9769
Ba  0.5025  0.7353  0.1991
Si  0.9009  0.8763  0.8642
Si  0.8837  0.2014  0.4290
Ba  0.9858  0.2735  0.7158
Si  0.6925  0.3607  0.3421
Ba  0.6585  0.8248  0.5828
Si  0.2913  0.7888  0.4553
Si  0.6976  0.0479  0.8269
Si  0.4254  0.2382  0.0865
Ba  0.3230  0.2969  0.4101
Ba  0.9854  0.6951  0.2905
Si  0.6820  0.3261  0.5371
Si  0.2116  0.4096  0.1526
Si  0.1984  0.0578  0.1511
Ba  0.4647  0.3313  0.7871
Si  0.2956  0.6415  0.6398
Si  0.6016  0.7712  0.9300
Ba  0.8404  0.2168  0.0850
Ba  0.2043  0.7458  0.9320
Si  0.0599  0.6869  0.5665
Si  0.2510  0.9790  0.6253
Cu  0.0442  0.9977  0.5003
Si  0.8205  0.7193  0.0429

Ba8CuSi16 | GGA-PBE | relaxed

Properties
Space group ... No. 1
Energy relative to the lowest polymorph listed for this composition ... 14 meV/atom
DFT total energy ... -4.452 eV per atom

a b c (Å): 9.2222 6.9336 11.6624
angles (deg): 92.41 89.22 95.39
Fractional coordinates of all 25 atoms:
Si  0.8295  0.7252  0.0501
Ba  0.9979  0.2402  0.6904
Si  0.6760  0.3074  0.5404
Si  0.2873  0.5960  0.6305
Si  0.7827  0.1434  0.3888
Ba  0.5052  0.7419  0.2032
Ba  0.7954  0.2522  0.0988
Si  0.1882  0.2474  0.9732
Si  0.4129  0.2684  0.0871
Si  0.1970  0.4239  0.1564
Si  0.8149  0.5338  0.8686
Ba  0.3431  0.2587  0.4073
Si  0.8986  0.8676  0.8536
Ba  0.6462  0.7965  0.5837
Si  0.3060  0.9501  0.6398
Si  0.2965  0.7691  0.4574
Ba  0.9878  0.7500  0.3070
Si  0.2042  0.0731  0.1588
Ba  0.4789  0.3281  0.7925
Si  0.6806  0.4411  0.3541
Ba  0.2297  0.7283  0.9003
Si  0.7081  0.0551  0.8272
Si  0.6294  0.7602  0.9209
Si  0.0797  0.7677  0.5879
Cu  0.0243  0.9746  0.0222

BaSmCuSi3 | GGA-PBE | relaxed

Properties
Space group ... No. 69
Energy relative to the lowest polymorph listed for this composition ... 0 meV/atom
DFT total energy ... -4.945 eV per atom

a b c (Å): 8.5542 8.3339 6.0758
angles (deg): 70.87 66.99 42.15
Fractional coordinates of all 12 atoms:
Cu  0.6633  0.6633  0.3367
Si  0.8244  0.3357  0.1756
Si  0.6643  0.1756  0.3357
Sm  0.7626  0.2374  0.7626
Sm  0.2374  0.7626  0.2374
Ba  0.7500  0.7500  0.7500
Cu  0.3367  0.3367  0.6633
Si  0.3357  0.8244  0.6643
Si  0.8400  0.8400  0.1600
Si  0.1756  0.6643  0.8244
Si  0.1600  0.1600  0.8400
Ba  0.2500  0.2500  0.2500

BaSrCu4Si2 | GGA-PBE | relaxed

Properties
Space group ... No. 187
DFT total energy ... -3.929 eV per atom

a b c (Å): 4.1660 4.1660 10.8366
angles (deg): 90.00 90.00 120.00
Fractional coordinates of all 8 atoms:
Sr  0.3333  0.6667  0.0000
Si  0.6667  0.3333  0.7561
Cu  0.3333  0.6667  0.2769
Cu  0.3333  0.6667  0.7231
Cu  0.0000  0.0000  0.7935
Si  0.6667  0.3333  0.2439
Cu  0.0000  0.0000  0.2065
Ba  0.0000  0.0000  0.5000

BaSmCu | GGA-PBE | relaxed

Properties
Space group ... No. 216
Energy relative to the lowest polymorph listed for this composition ... 0 meV/atom
DFT total energy ... -2.806 eV per atom

a b c (Å): 5.0836 5.0836 5.0836
angles (deg): 60.00 60.00 60.00
Fractional coordinates of all 3 atoms:
Cu  0.7500  0.7500  0.7500
Sm  0.0000  0.0000  0.0000
Ba  0.2500  0.2500  0.2500

BaSmCuTe3 | GGA-PBE | relaxed

Properties
Space group ... No. 12
DFT total energy ... -4.430 eV per atom

a b c (Å): 10.1950 10.1950 9.1326
angles (deg): 102.30 102.30 25.73
Fractional coordinates of all 12 atoms:
Ba  0.8713  0.8713  0.4290
Te  0.3264  0.3264  0.1414
Cu  0.4570  0.4570  0.7993
Ba  0.1287  0.1287  0.5710
Sm  0.8367  0.8367  0.9159
Te  0.6736  0.6736  0.8586
Sm  0.1633  0.1633  0.0841
Cu  0.5430  0.5430  0.2007
Te  0.6754  0.6754  0.3214
Te  0.0000  0.0000  0.0000
Te  0.5000  0.5000  0.5000
Te  0.3246  0.3246  0.6786

Repeat the fourth record exactly.
BaYCuSe3 | GGA-PBE | relaxed

Properties
Space group ... No. 63
DFT total energy ... -5.350 eV per atom

a b c (Å): 7.3454 7.3454 10.6801
angles (deg): 90.00 90.00 146.92
Fractional coordinates of all 12 atoms:
Cu  0.4671  0.5329  0.7500
Y  0.0000  0.0000  0.0000
Se  0.9317  0.0683  0.2500
Se  0.6346  0.3654  0.4388
Se  0.3654  0.6346  0.5612
Se  0.3654  0.6346  0.9388
Ba  0.7472  0.2528  0.7500
Ba  0.2528  0.7472  0.2500
Se  0.6346  0.3654  0.0612
Cu  0.5329  0.4671  0.2500
Y  0.0000  0.0000  0.5000
Se  0.0683  0.9317  0.7500